VASP calculation (PBE) on a relaxed BeBi2PdRh crystal.

## Properties
total DFT energy (no corrections)	-3.692	eV/atom
calculated volume	135	Å³/cell
total magnetic moment	0.67	μB per formula unit
formation energy from the elements	1.115	eV per atom
density of states at the Fermi level	0.97	states/eV/atom

a b c (Å): 5.1879 5.1879 5.0053
angles (deg): 90.00 90.00 90.00
Closest atoms and distances in Å follow each position.
Space group P4/mmm (No. 123)
Symmetry-distinct sites (fractional):
Be 0.0000 0.0000 0.0000 (multiplicity 1)  8 Bi 3.60, 4 Rh 3.67
Bi 0.0000 0.5000 0.5000 (multiplicity 2)  2 Pd 2.59
Pd 0.5000 0.5000 0.5000 (multiplicity 1)  2 Rh 2.50, 4 Bi 2.59
Rh 0.5000 0.5000 0.0000 (multiplicity 1)  2 Pd 2.50